! ScSbOsPd2 (PBE, optimized geometry); values from VASP
! - Space group: No. 123
! - Raw total energy: -5.80 eV per atom
! - Spin magnetization: 0.004 μB/cell
! - Crystal system: tetragonal
&SYSTEM
  ibrav = 0, nat = 5, ntyp = 4
/
ATOMIC_SPECIES
Sc 44.96 Sc.upf
Sb 121.76 Sb.upf
Os 190.23 Os.upf
Pd 106.42 Pd.upf
CELL_PARAMETERS angstrom
4.815 0.000 0.000
0.000 4.815 0.000
0.000 0.000 4.927
ATOMIC_POSITIONS angstrom
Sc 0.000 0.000 0.000
Sb 2.408 2.408 2.463
Os 2.408 2.408 0.000
Pd 0.000 2.408 2.463
Pd 2.408 0.000 2.463